Entry from Alexandria: NaMnMo2O8 after structural relaxation (PBE with a Hubbard U).

## Properties
- D(E_F) (states/eV per cell) = 10.666
- final energy (eV per atom) = -6.6900
- space-group type = I-4m2 (119)
- M_tot (Bohr magnetons per cell) = 3.93

a = 6.071 Å, b = 6.071 Å, c = 6.071 Å
α = 107.76°, β = 107.76°, γ = 112.96°
Positions (direct):
Na 0.250 0.750 0.500
O 0.389 0.095 0.294
O 0.334 0.530 0.196
O 0.334 0.138 0.804
O 0.470 0.666 0.804
O 0.862 0.666 0.196
Mo 0.750 0.250 0.500
O 0.905 0.611 0.706
Mo 0.500 0.500 0.000
O 0.802 0.095 0.706
Mn 0.000 0.000 0.000
O 0.905 0.198 0.294